(1)
An optimized crystal structure of Ba2SrI6. Source: Alexandria, functional PBEsol.

```
data_Ba2SrI6
_space_group_name_H-M_alt 'P 3 2 1'
_space_group_IT_number 150
_cell_length_a 13.1408
_cell_length_b 13.1408
_cell_length_c 8.1079
_cell_angle_alpha 90.00
_cell_angle_beta 90.00
_cell_angle_gamma 120.00
loop_
_space_group_symop_operation_xyz
'x,y,z'
'-y,x-y,z'
'-x+y,-x,z'
'y,x,-z'
'x-y,-y,-z'
'-x,-x+y,-z'
loop_
_atom_site_label
_atom_site_type_symbol
_atom_site_fract_x
_atom_site_fract_y
_atom_site_fract_z
Ba1 Ba 0.0000 0.4124 0.0000
Ba2 Ba 0.0000 0.7330 0.5000
Sr1 Sr 0.0000 0.0000 0.0000
Sr2 Sr 0.3333 0.6667 0.5993
I1 I 0.0329 0.2076 0.2521
I2 I 0.1287 0.5862 0.3311
I3 I 0.1729 0.7229 0.8439
```



(2)
An optimized crystal structure of BaSr2I6. Source: Alexandria, functional PBEsol.

```
data_BaSr2I6
_space_group_name_H-M_alt 'C 1 2/c 1'
_space_group_IT_number 15
_cell_length_a 8.913
_cell_length_b 15.124
_cell_length_c 11.578
_cell_angle_alpha 90.00
_cell_angle_beta 94.23
_cell_angle_gamma 90.00
loop_
_space_group_symop_operation_xyz
'x,y,z'
'-x,-y,-z'
'-x,y,-z+1/2'
'x,-y,z+1/2'
'x+1/2,y+1/2,z'
'-x+1/2,-y+1/2,-z'
'-x+1/2,y+1/2,-z+1/2'
'x+1/2,-y+1/2,z+1/2'
loop_
_atom_site_label
_atom_site_type_symbol
_atom_site_fract_x
_atom_site_fract_y
_atom_site_fract_z
Ba1 Ba 0.000 0.025 0.250
Sr1 Sr 0.055 0.348 0.556
I1 I 0.101 0.132 0.533
I2 I 0.155 0.451 0.134
I3 I 0.242 0.310 0.805
```



| no. | raw formation energy (eV per atom) |
| --- | --- |
| 1 | -1.699 |
| 2 | -1.682 |